(1)
DFT (PBE-GGA) results for a relaxed TaZnCuPt crystal.

raw total energy: -6.030 eV per atom
excess energy over the best structure of this formula in the dataset: 0 meV per atom
space-group type: F-43m, No. 216

abc: 6.210 6.210 6.210
angles: 90.00 90.00 90.00
Fractional coordinates of all 16 atoms:
Ta 0.000 0.000 0.000
Ta 0.000 0.500 0.500
Ta 0.500 0.000 0.500
Ta 0.500 0.500 0.000
Zn 0.000 0.000 0.500
Zn 0.000 0.500 0.000
Zn 0.500 0.000 0.000
Zn 0.500 0.500 0.500
Cu 0.250 0.250 0.750
Cu 0.250 0.750 0.250
Cu 0.750 0.250 0.250
Cu 0.750 0.750 0.750
Pt 0.250 0.250 0.250
Pt 0.250 0.750 0.750
Pt 0.750 0.250 0.750
Pt 0.750 0.750 0.250



(2)
DFT (PBE-GGA) results for a relaxed Al2ZnCoCu4 crystal.

raw total energy: -3.956 eV per atom
excess energy over the best structure of this formula in the dataset: 1 meV per atom
space-group type: I4_1/amd, No. 141

abc: 7.164 7.164 7.164
angles: 132.29 132.29 69.78
Fractional coordinates of all 16 atoms:
Al 0.122 0.372 0.750
Al 0.372 0.122 0.250
Al 0.628 0.878 0.750
Al 0.878 0.628 0.250
Zn 0.375 0.625 0.750
Zn 0.625 0.375 0.250
Co 0.125 0.875 0.250
Co 0.875 0.125 0.750
Cu 0.000 0.249 0.249
Cu 0.000 0.751 0.751
Cu 0.249 0.000 0.749
Cu 0.249 0.500 0.249
Cu 0.500 0.249 0.749
Cu 0.500 0.751 0.251
Cu 0.751 0.000 0.251
Cu 0.751 0.500 0.751